Density functional theory data (PBE) for a geometry-optimized PrGe2Pt3 structure. Values from VASP.

Quantum ESPRESSO input file:
```
&SYSTEM
  ibrav = 0, nat = 18, ntyp = 3
/
ATOMIC_SPECIES
Pr 140.91 Pr.upf
Ge 72.64 Ge.upf
Pt 195.08 Pt.upf
CELL_PARAMETERS angstrom
8.373 -2.059 0.000
8.373 2.059 0.000
-3.015 0.000 9.756
ATOMIC_POSITIONS crystal
Pr 0.000 0.000 0.000
Pr 0.154 0.154 0.692
Pr 0.846 0.846 0.308
Ge 0.201 0.201 0.131
Ge 0.362 0.362 0.550
Ge 0.465 0.465 0.223
Ge 0.535 0.535 0.777
Ge 0.638 0.638 0.450
Ge 0.799 0.799 0.869
Pt 0.042 0.042 0.331
Pt 0.222 0.222 0.389
Pt 0.326 0.326 0.045
Pt 0.377 0.377 0.804
Pt 0.500 0.500 0.500
Pt 0.623 0.623 0.196
Pt 0.674 0.674 0.955
Pt 0.778 0.778 0.611
Pt 0.958 0.958 0.669
```

Results
Its space group is C2/m. The calculation puts the density of states at the Fermi level at 8.375 states/eV per cell. Its total energy is -6.21 eV/atom.